# 1
Material: SnBPd2
Method: DFT, PBE
State: optimized geometry

a b c (Å): 5.276 5.276 11.019
angles (deg): 90.00 90.00 90.00
Fractional coordinates of all 16 atoms:
Sn (0.000, 0.000, 0.000)
Sn (0.000, 0.500, 0.250)
Sn (0.500, 0.000, 0.750)
Sn (0.500, 0.500, 0.500)
B (0.000, 0.000, 0.500)
B (0.000, 0.500, 0.750)
B (0.500, 0.000, 0.250)
B (0.500, 0.500, 0.000)
Pd (0.142, 0.250, 0.625)
Pd (0.250, 0.642, 0.875)
Pd (0.250, 0.858, 0.375)
Pd (0.358, 0.250, 0.125)
Pd (0.642, 0.750, 0.125)
Pd (0.750, 0.142, 0.375)
Pd (0.750, 0.358, 0.875)
Pd (0.858, 0.750, 0.625)

- space group = I-42d (122)
- E above lowest polymorph (meV/atom) = 0

***

# 2
Material: Sn6BPd12
Method: DFT, PBE
State: optimized geometry

a b c (Å): 7.157 7.157 7.157
angles (deg): 101.00 101.00 101.00
Fractional coordinates of all 19 atoms:
Sn (0.112, 0.332, 0.678)
Sn (0.322, 0.888, 0.668)
Sn (0.332, 0.678, 0.112)
Sn (0.668, 0.322, 0.888)
Sn (0.678, 0.112, 0.332)
Sn (0.888, 0.668, 0.322)
B (0.000, 0.000, 0.000)
Pd (0.030, 0.050, 0.308)
Pd (0.050, 0.308, 0.030)
Pd (0.212, 0.520, 0.411)
Pd (0.308, 0.030, 0.050)
Pd (0.411, 0.212, 0.520)
Pd (0.480, 0.589, 0.788)
Pd (0.520, 0.411, 0.212)
Pd (0.589, 0.788, 0.480)
Pd (0.692, 0.970, 0.950)
Pd (0.788, 0.480, 0.589)
Pd (0.950, 0.692, 0.970)
Pd (0.970, 0.950, 0.692)

- space group = R-3 (148)
- final energy (eV per cell) = -100.27

***

# 3
Material: Sn2BPd
Method: DFT, PBE
State: optimized geometry

a b c (Å): 6.020 6.020 9.742
angles (deg): 90.00 90.00 90.00
Fractional coordinates of all 16 atoms:
Sn (0.197, 0.250, 0.125)
Sn (0.250, 0.697, 0.375)
Sn (0.250, 0.803, 0.875)
Sn (0.303, 0.250, 0.625)
Sn (0.697, 0.750, 0.625)
Sn (0.750, 0.197, 0.875)
Sn (0.750, 0.303, 0.375)
Sn (0.803, 0.750, 0.125)
B (0.000, 0.000, 0.000)
B (0.000, 0.500, 0.250)
B (0.500, 0.000, 0.750)
B (0.500, 0.500, 0.500)
Pd (0.000, 0.000, 0.500)
Pd (0.000, 0.500, 0.750)
Pd (0.500, 0.000, 0.250)
Pd (0.500, 0.500, 0.000)

- space group = I-42d (122)
- final energy (eV per cell) = -74.04

***

# 4
Material: Ta2SnBPd
Method: DFT, PBE
State: optimized geometry

a b c (Å): 5.168 5.168 3.934
angles (deg): 90.00 90.00 90.00
Fractional coordinates of all 5 atoms:
Ta (0.000, 0.500, 0.000)
Ta (0.500, 0.000, 0.000)
Sn (0.000, 0.000, 0.000)
B (0.000, 0.000, 0.500)
Pd (0.500, 0.500, 0.500)

- space group = P4/mmm (123)
- final energy (eV per cell) = -29.17

***

# 5
Material: SrBPd
Method: DFT, PBE
State: optimized geometry

a b c (Å): 5.596 9.580 4.388
angles (deg): 90.00 90.00 90.00
Fractional coordinates of all 12 atoms:
Sr (0.000, 0.205, 0.000)
Sr (0.000, 0.795, 0.000)
Sr (0.500, 0.295, 0.500)
Sr (0.500, 0.705, 0.500)
B (0.146, 0.500, 0.852)
B (0.354, 0.000, 0.352)
B (0.646, 0.000, 0.352)
B (0.854, 0.500, 0.852)
Pd (0.000, 0.000, 0.507)
Pd (0.000, 0.500, 0.374)
Pd (0.500, 0.000, 0.874)
Pd (0.500, 0.500, 0.007)

- space group = Imm2 (44)
- E above lowest polymorph (meV/atom) = 68

***

# 6
Material: SrBPd
Method: DFT, PBE
State: optimized geometry

a b c (Å): 9.701 5.318 5.702
angles (deg): 90.00 123.12 90.00
Fractional coordinates of all 12 atoms:
Sr (0.113, 0.000, 0.368)
Sr (0.387, 0.500, 0.632)
Sr (0.613, 0.500, 0.368)
Sr (0.887, 0.000, 0.632)
B (0.078, 0.500, 0.656)
B (0.422, 0.000, 0.344)
B (0.578, 0.000, 0.656)
B (0.922, 0.500, 0.344)
Pd (0.250, 0.250, 0.000)
Pd (0.250, 0.750, 0.000)
Pd (0.750, 0.250, 0.000)
Pd (0.750, 0.750, 0.000)

- space group = C2/m (12)
- E above lowest polymorph (meV/atom) = 141

***

# 7
Material: SrBPd
Method: DFT, PBE
State: optimized geometry

a b c (Å): 6.851 9.238 4.482
angles (deg): 90.00 122.91 90.00
Fractional coordinates of all 12 atoms:
Sr (0.000, 0.192, 0.000)
Sr (0.000, 0.808, 0.000)
Sr (0.500, 0.308, 0.000)
Sr (0.500, 0.692, 0.000)
B (0.158, 0.000, 0.642)
B (0.399, 0.000, 0.023)
B (0.658, 0.500, 0.642)
B (0.899, 0.500, 0.023)
Pd (0.279, 0.500, 0.320)
Pd (0.452, 0.000, 0.548)
Pd (0.779, 0.000, 0.320)
Pd (0.952, 0.500, 0.548)

- space group = Cm (8)
- E above lowest polymorph (meV/atom) = 0

***

# 8
Material: SrB4Pd12
Method: DFT, PBE
State: optimized geometry

a b c (Å): 6.897 6.897 6.897
angles (deg): 109.47 109.47 109.47
Fractional coordinates of all 17 atoms:
Sr (0.000, 0.000, 0.000)
B (0.000, 0.000, 0.500)
B (0.000, 0.500, 0.000)
B (0.500, 0.000, 0.000)
B (0.500, 0.500, 0.500)
Pd (0.140, 0.325, 0.815)
Pd (0.185, 0.510, 0.325)
Pd (0.185, 0.860, 0.675)
Pd (0.325, 0.185, 0.510)
Pd (0.325, 0.815, 0.140)
Pd (0.490, 0.675, 0.815)
Pd (0.510, 0.325, 0.185)
Pd (0.675, 0.185, 0.860)
Pd (0.675, 0.815, 0.490)
Pd (0.815, 0.140, 0.325)
Pd (0.815, 0.490, 0.675)
Pd (0.860, 0.675, 0.185)

- space group = Im-3 (204)
- final energy (eV per cell) = -94.88

***

# 9
Material: SrBPd3
Method: DFT, PBE
State: optimized geometry

a b c (Å): 4.131 4.131 9.939
angles (deg): 90.00 90.00 90.00
Fractional coordinates of all 10 atoms:
Sr (0.000, 0.000, 0.000)
Sr (0.500, 0.500, 0.500)
B (0.000, 0.000, 0.337)
B (0.500, 0.500, 0.837)
Pd (0.000, 0.000, 0.548)
Pd (0.000, 0.500, 0.256)
Pd (0.000, 0.500, 0.756)
Pd (0.500, 0.000, 0.256)
Pd (0.500, 0.000, 0.756)
Pd (0.500, 0.500, 0.048)

- space group = I4mm (107)
- E above lowest polymorph (meV/atom) = 0

***

# 10
Material: SrBPd
Method: DFT, PBE
State: optimized geometry

a b c (Å): 4.382 5.700 5.875
angles (deg): 83.10 70.73 80.31
Fractional coordinates of all 6 atoms:
Sr (0.000, 0.000, 0.000)
Sr (0.174, 0.421, 0.412)
B (0.202, 0.502, 0.888)
B (0.509, 0.309, 0.760)
Pd (0.684, 0.987, 0.614)
Pd (0.697, 0.551, 0.908)

- space group = P1 (1)
- E above lowest polymorph (meV/atom) = 187

***

# 11
Material: SrBPd
Method: DFT, PBE
State: optimized geometry

a b c (Å): 3.628 7.196 9.068
angles (deg): 90.00 90.00 90.00
Fractional coordinates of all 12 atoms:
Sr (0.000, 0.000, 0.238)
Sr (0.000, 0.000, 0.762)
Sr (0.500, 0.500, 0.262)
Sr (0.500, 0.500, 0.738)
B (0.000, 0.384, 0.000)
B (0.000, 0.616, 0.000)
B (0.500, 0.116, 0.500)
B (0.500, 0.884, 0.500)
Pd (0.000, 0.281, 0.500)
Pd (0.000, 0.719, 0.500)
Pd (0.500, 0.219, 0.000)
Pd (0.500, 0.781, 0.000)

- space group = Immm (71)
- E above lowest polymorph (meV/atom) = 128

***

# 12
Material: SrBPd
Method: DFT, PBE
State: optimized geometry

a b c (Å): 3.446 4.475 7.843
angles (deg): 90.00 90.00 90.00
Fractional coordinates of all 6 atoms:
Sr (0.000, 0.000, 0.000)
Sr (0.000, 0.500, 0.423)
B (0.256, 0.500, 0.762)
B (0.744, 0.500, 0.762)
Pd (0.500, 0.000, 0.680)
Pd (0.500, 0.500, 0.047)

- space group = Pmm2 (25)
- E above lowest polymorph (meV/atom) = 209

***

# 13
Material: SrB3Pd
Method: DFT, PBE
State: optimized geometry

a b c (Å): 4.224 4.224 4.224
angles (deg): 90.00 90.00 90.00
Fractional coordinates of all 5 atoms:
Sr (0.000, 0.000, 0.000)
B (0.000, 0.500, 0.500)
B (0.500, 0.000, 0.500)
B (0.500, 0.500, 0.000)
Pd (0.500, 0.500, 0.500)

- space group = Pm-3m (221)
- E above lowest polymorph (meV/atom) = 0

***

# 14
Material: SrBPd
Method: DFT, PBE
State: optimized geometry

a b c (Å): 3.927 4.381 7.462
angles (deg): 90.00 103.75 90.00
Fractional coordinates of all 6 atoms:
Sr (0.000, 0.000, 0.000)
Sr (0.243, 0.000, 0.503)
B (0.362, 0.500, 0.799)
B (0.508, 0.500, 0.017)
Pd (0.658, 0.500, 0.292)
Pd (0.811, 0.500, 0.678)

- space group = Pm (6)
- E above lowest polymorph (meV/atom) = 149

***

# 15
Material: SrB3Pd
Method: DFT, PBE
State: optimized geometry

a b c (Å): 4.734 4.734 4.734
angles (deg): 90.00 90.00 90.00
Fractional coordinates of all 5 atoms:
Sr (0.000, 0.000, 0.000)
B (0.000, 0.000, 0.500)
B (0.000, 0.500, 0.000)
B (0.500, 0.000, 0.000)
Pd (0.500, 0.500, 0.500)

- space group = Pm-3m (221)
- E above lowest polymorph (meV/atom) = 2061

***

# 16
Material: SrBPd3
Method: DFT, PBE
State: optimized geometry

a b c (Å): 6.245 6.245 6.245
angles (deg): 122.33 89.02 118.83
Fractional coordinates of all 10 atoms:
Sr (0.287, 0.037, 0.250)
Sr (0.713, 0.963, 0.750)
B (0.000, 0.500, 0.500)
B (0.500, 0.500, 0.000)
Pd (0.208, 0.458, 0.750)
Pd (0.233, 0.000, 0.733)
Pd (0.233, 0.500, 0.233)
Pd (0.767, 0.000, 0.267)
Pd (0.767, 0.500, 0.767)
Pd (0.792, 0.542, 0.250)

- space group = Imma (74)
- E above lowest polymorph (meV/atom) = 1

***

# 17
Material: SrBPd
Method: DFT, PBE
State: optimized geometry

a b c (Å): 10.072 4.347 5.937
angles (deg): 90.00 111.22 90.00
Fractional coordinates of all 12 atoms:
Sr (0.000, 0.000, 0.000)
Sr (0.094, 0.500, 0.555)
Sr (0.500, 0.500, 0.000)
Sr (0.594, 0.000, 0.555)
B (0.283, 0.000, 0.408)
B (0.311, 0.000, 0.155)
B (0.783, 0.500, 0.408)
B (0.811, 0.500, 0.155)
Pd (0.296, 0.000, 0.782)
Pd (0.297, 0.500, 0.278)
Pd (0.796, 0.500, 0.782)
Pd (0.797, 0.000, 0.278)

- space group = Cm (8)
- E above lowest polymorph (meV/atom) = 62

***

# 18
Material: SrBPd3
Method: DFT, PBE
State: optimized geometry

a b c (Å): 4.393 4.393 4.393
angles (deg): 90.00 90.00 90.00
Fractional coordinates of all 5 atoms:
Sr (0.000, 0.000, 0.000)
B (0.500, 0.500, 0.500)
Pd (0.000, 0.500, 0.500)
Pd (0.500, 0.000, 0.500)
Pd (0.500, 0.500, 0.000)

- space group = Pm-3m (221)
- E above lowest polymorph (meV/atom) = 2

***

# 19
Material: Sr2BPd
Method: DFT, PBE
State: optimized geometry

a b c (Å): 7.838 7.838 7.192
angles (deg): 90.00 90.00 90.00
Fractional coordinates of all 16 atoms:
Sr (0.229, 0.750, 0.125)
Sr (0.250, 0.229, 0.875)
Sr (0.250, 0.271, 0.375)
Sr (0.271, 0.750, 0.625)
Sr (0.729, 0.250, 0.625)
Sr (0.750, 0.729, 0.375)
Sr (0.750, 0.771, 0.875)
Sr (0.771, 0.250, 0.125)
B (0.000, 0.000, 0.000)
B (0.000, 0.500, 0.250)
B (0.500, 0.000, 0.750)
B (0.500, 0.500, 0.500)
Pd (0.000, 0.000, 0.500)
Pd (0.000, 0.500, 0.750)
Pd (0.500, 0.000, 0.250)
Pd (0.500, 0.500, 0.000)

- space group = I-42d (122)
- final energy (eV per cell) = -52.63

***

# 20
Material: SrBPd3
Method: DFT, PBE
State: optimized geometry

a b c (Å): 5.196 5.196 5.196
angles (deg): 90.00 90.00 90.00
Fractional coordinates of all 5 atoms:
Sr (0.000, 0.000, 0.000)
B (0.500, 0.500, 0.500)
Pd (0.000, 0.000, 0.500)
Pd (0.000, 0.500, 0.000)
Pd (0.500, 0.000, 0.000)

- space group = Pm-3m (221)
- E above lowest polymorph (meV/atom) = 2305